Model one:
# PBE Ce2SmSb, relaxed
# V = 120.67 Å³/cell
# Density = 7.601 g cm⁻³
# Total moment = 1.11 μB per formula unit
data_Ce2SmSb
_chemical_formula_sum 'Ce2 Sm1 Sb1'
_symmetry_space_group_name_H-M 'P 4/m m m'
_symmetry_Int_Tables_number 123
_symmetry_space_group_name_Hall '-P 4 2'
_cell_length_a 4.213
_cell_length_b 4.213
_cell_length_c 6.800
_cell_angle_alpha 90.00
_cell_angle_beta 90.00
_cell_angle_gamma 90.00
loop_
_atom_site_label
_atom_site_fract_x
_atom_site_fract_y
_atom_site_fract_z
_atom_site_occupancy
Ce1 0.000 0.000 0.197 1
Sm1 0.500 0.500 0.500 1
Sb1 0.500 0.500 0.000 1



Model two:
# PBE Ce2SmSb, relaxed
# V = 109.75 Å³/cell
# Density = 8.357 g cm⁻³
# Total moment = 1.61 μB per formula unit
data_Ce2SmSb
_chemical_formula_sum 'Ce2 Sm1 Sb1'
_symmetry_space_group_name_H-M 'P 4/m m m'
_symmetry_Int_Tables_number 123
_symmetry_space_group_name_Hall '-P 4 2'
_cell_length_a 4.653
_cell_length_b 4.653
_cell_length_c 5.069
_cell_angle_alpha 90.00
_cell_angle_beta 90.00
_cell_angle_gamma 90.00
loop_
_atom_site_label
_atom_site_fract_x
_atom_site_fract_y
_atom_site_fract_z
_atom_site_occupancy
Ce1 0.000 0.500 0.000 1
Sm1 0.000 0.000 0.500 1
Sb1 0.500 0.500 0.500 1



Model three:
# PBE Ce2SmSb, relaxed
# V = 224.75 Å³/cell
# Density = 8.162 g cm⁻³
# Total moment = 0.00 μB per formula unit
data_Ce2SmSb
_chemical_formula_sum 'Ce4 Sm2 Sb2'
_symmetry_space_group_name_H-M 'P 1 21/m 1'
_symmetry_Int_Tables_number 11
_cell_length_a 4.458
_cell_length_b 4.377
_cell_length_c 11.717
_cell_angle_alpha 90.00
_cell_angle_beta 100.53
_cell_angle_gamma 90.00
loop_
_symmetry_equiv_pos_as_xyz
'x,y,z'
'-x,-y,-z'
'-x,y+1/2,-z'
'x,-y+1/2,z'
loop_
_atom_site_label
_atom_site_fract_x
_atom_site_fract_y
_atom_site_fract_z
_atom_site_occupancy
Ce1 0.002 0.250 0.118 1
Ce2 0.401 0.250 0.887 1
Sm1 0.302 0.750 0.610 1
Sb1 0.175 0.750 0.332 1



Model four:
# PBE Ce2SmSb, relaxed
# V = 459.07 Å³/cell
# Density = 7.992 g cm⁻³
# Total moment = 2.24 μB per formula unit
data_Ce2SmSb
_chemical_formula_sum 'Ce8 Sm4 Sb4'
_symmetry_space_group_name_H-M 'F m -3 m'
_symmetry_Int_Tables_number 225
_symmetry_space_group_name_Hall '-F 4 2 3'
_cell_length_a 7.714
_cell_length_b 7.714
_cell_length_c 7.714
_cell_angle_alpha 90.00
_cell_angle_beta 90.00
_cell_angle_gamma 90.00
loop_
_atom_site_label
_atom_site_fract_x
_atom_site_fract_y
_atom_site_fract_z
_atom_site_occupancy
Ce1 0.250 0.250 0.250 1
Sm1 0.000 0.000 0.000 1
Sb1 0.000 0.000 0.500 1



Which structure wins on stability? model three wins.